# 1
A geometry-optimized ZrMnCl2 structure, computed with PBE-GGA.

Summary:
- D(E_F): 0.619 states/eV per atom
- Distance to the lowest polymorph of the same formula: 521.6 meV per atom

Cell lengths 3.116, 5.739, 4.325 Å; angles 90.00, 90.00, 90.00 degrees
Each line ends with the local moment (μB).
Sites, in units of the cell vectors:
Mn 0.500 0.000 0.500  3.92
Zr 0.000 0.500 0.500  -0.31
Cl 0.000 0.000 0.000  0.02
Cl 0.500 0.500 0.000  0.02

=====

# 2
A geometry-optimized ZrMnCl2 structure, computed with PBE-GGA.

Summary:
- D(E_F): 0.715 states/eV per atom
- Distance to the lowest polymorph of the same formula: 682.3 meV per atom

Cell lengths 4.611, 4.611, 4.611 Å; angles 60.00, 60.00, 60.00 degrees
Each line ends with the local moment (μB).
Sites, in units of the cell vectors:
Mn 0.000 0.000 0.000  3.77
Zr 0.500 0.500 0.500  -0.07
Cl 0.250 0.250 0.250  0.06
Cl 0.750 0.750 0.750  0.06

=====

# 3
A geometry-optimized ZrMnCl2 structure, computed with PBE-GGA.

Summary:
- D(E_F): 0.485 states/eV per atom
- Distance to the lowest polymorph of the same formula: 232.1 meV per atom

Cell lengths 7.438, 7.438, 4.533 Å; angles 72.67, 72.67, 25.86 degrees
Each line ends with the local moment (μB).
Sites, in units of the cell vectors:
Mn 0.750 0.750 0.750  3.65
Zr 0.250 0.250 0.250  -0.51
Cl 0.895 0.895 0.106  0.04
Cl 0.605 0.605 0.394  0.04

=====

# 4
A geometry-optimized ZrMnCl2 structure, computed with PBE-GGA.

Summary:
- D(E_F): 0.721 states/eV per atom
- Distance to the lowest polymorph of the same formula: 706.2 meV per atom

Cell lengths 4.311, 4.311, 3.772 Å; angles 90.00, 90.00, 89.99 degrees
Each line ends with the local moment (μB).
Sites, in units of the cell vectors:
Mn 0.500 0.000 0.500  3.61
Zr 0.000 0.500 0.500  -0.73
Cl 0.000 0.000 0.000  0.04
Cl 0.500 0.500 0.000  0.04

=====

# 5
A geometry-optimized ZrMnCl2 structure, computed with PBE-GGA.

Summary:
- D(E_F): 0.556 states/eV per atom
- Distance to the lowest polymorph of the same formula: 421.0 meV per atom

Cell lengths 6.836, 6.836, 6.836 Å; angles 153.49, 141.22, 47.59 degrees
Each line ends with the local moment (μB).
Sites, in units of the cell vectors:
Mn 0.566 0.566 0.000  4.01
Zr 0.758 0.258 0.500  -0.50
Cl 0.937 0.937 0.000  0.03
Cl 0.239 0.739 0.500  0.03

=====

# 6
A geometry-optimized ZrMnCl2 structure, computed with PBE-GGA.

Summary:
- D(E_F): 0.457 states/eV per atom
- Distance to the lowest polymorph of the same formula: 299.2 meV per atom

Cell lengths 5.088, 5.088, 6.798 Å; angles 62.66, 62.66, 36.91 degrees
Each line ends with the local moment (μB).
Sites, in units of the cell vectors:
Mn 0.531 0.531 0.491  3.96
Zr 0.235 0.235 0.115  -0.38
Cl 0.944 0.944 0.129  0.02
Cl 0.790 0.790 0.766  0.03

=====

| no. | total magnetization (μB per cell) |
| --- | --- |
| 1 | 3.7 |
| 2 | 4.2 |
| 3 | 3.3 |
| 4 | 2.9 |
| 5 | 3.7 |
| 6 | 3.8 |